Record 1
The following is a PBE calculation of a geometry-optimized Cs4H2ICl structure, from the Alexandria database.

SG: Imma, No. 74
magnetic moment: 0.20 μB per cell
density: 3368 kg/m3

a b c (Å): 9.9065 9.9065 9.8170
angles (deg): 119.71 119.71 90.13
Sites, in units of the cell vectors:
Cs 0.2883 0.7798 0.0341
Cs 0.7202 0.2117 0.4659
Cs 0.2798 0.7883 0.5341
Cs 0.7117 0.2202 0.9659
Cs 0.7340 0.7667 0.0096
Cs 0.7333 0.7660 0.4904
Cs 0.2667 0.2340 0.5096
Cs 0.2660 0.2333 0.9904
H 0.5000 0.0000 0.0000
H 0.5000 0.0000 0.5000
H 0.0000 0.0000 0.5000
H 0.5000 0.5000 0.0000
I 0.0000 0.5000 0.0000
I 0.0000 0.5000 0.5000
Cl 0.5000 0.5000 0.5000
Cl 0.0000 0.0000 0.0000

=====

Record 2
The following is a PBE calculation of a geometry-optimized Cs6H2I3Cl structure, from the Alexandria database.

SG: C2/m, No. 12
magnetic moment: 0.11 μB per cell
density: 3469 kg/m3

a b c (Å): 8.8678 8.8678 9.0411
angles (deg): 99.41 99.41 120.00
Sites, in units of the cell vectors:
Cs 0.9289 0.5850 0.7866
Cs 0.7267 0.7267 0.2113
Cs 0.0711 0.4150 0.2134
Cs 0.5850 0.9289 0.7866
Cs 0.2733 0.2733 0.7887
Cs 0.4150 0.0711 0.2134
H 0.3328 0.6672 0.0000
H 0.6672 0.3328 0.0000
I 0.1631 0.8369 0.5000
I 0.8369 0.1631 0.5000
I 0.5000 0.5000 0.5000
Cl 0.0000 0.0000 0.0000

=====

Record 3
The following is a PBE calculation of a geometry-optimized Cs4HI2Cl structure, from the Alexandria database.

SG: P2/m, No. 10
magnetic moment: 0.06 μB per cell
density: 3439 kg/m3

a b c (Å): 5.1678 8.9397 9.0883
angles (deg): 109.06 90.00 90.00
Sites, in units of the cell vectors:
Cs 0.5000 0.2326 0.2152
Cs 0.5000 0.7674 0.7848
Cs 0.0000 0.2529 0.7828
Cs 0.0000 0.7471 0.2172
H 0.0000 0.0000 0.0000
I 0.5000 0.0000 0.5000
I 0.0000 0.5000 0.5000
Cl 0.5000 0.5000 0.0000

=====

Record 4
The following is a PBE calculation of a geometry-optimized Cs2HICl6 structure, from the Alexandria database.

SG: I4/mmm, No. 139
magnetic moment: 0.00 μB per cell
density: 3409 kg/m3

a b c (Å): 7.2424 7.2424 7.6123
angles (deg): 61.59 61.59 90.00
Sites, in units of the cell vectors:
Cs 0.7500 0.2500 0.5000
Cs 0.2500 0.7500 0.5000
I 0.0000 0.0000 0.0000
H 0.5000 0.5000 0.0000
Cl 0.2229 0.2229 0.5541
Cl 0.7771 0.7771 0.4459
Cl 0.2845 0.2845 0.0000
Cl 0.7155 0.7155 0.0000
Cl 0.7155 0.2845 0.0000
Cl 0.2845 0.7155 0.0000

=====

Record 5
The following is a PBE calculation of a geometry-optimized Cs6HI3Cl2 structure, from the Alexandria database.

SG: C2/m, No. 12
magnetic moment: 0.07 μB per cell
density: 3438 kg/m3

a b c (Å): 8.9892 8.9892 9.1317
angles (deg): 99.45 99.45 119.98
Sites, in units of the cell vectors:
Cs 0.9276 0.6038 0.7824
Cs 0.7492 0.7492 0.2203
Cs 0.0724 0.3962 0.2176
Cs 0.6038 0.9276 0.7824
Cs 0.2508 0.2508 0.7797
Cs 0.3962 0.0724 0.2176
H 0.0000 0.0000 0.0000
I 0.1699 0.8301 0.5000
I 0.8301 0.1699 0.5000
I 0.5000 0.5000 0.5000
Cl 0.3340 0.6660 0.0000
Cl 0.6660 0.3340 0.0000

=====

Record 6
The following is a PBE calculation of a geometry-optimized CsInHCl2 structure, from the Alexandria database.

SG: P4/mmm, No. 123
magnetic moment: 0.00 μB per cell
density: 3845 kg/m3

a b c (Å): 5.8229 5.8229 4.0714
angles (deg): 90.00 90.00 90.00
Sites, in units of the cell vectors:
Cs 0.5000 0.5000 0.5000
H 0.0000 0.0000 0.5000
Cl 0.0000 0.5000 0.0000
Cl 0.5000 0.0000 0.0000
In 0.0000 0.0000 0.0000

=====

In eV per formula unit, the total energy values for the records above are, in order, -20.97, -31.89, -21.98, -24.78, -34.09, -15.75.